Entry 1
The following is a PBE calculation of a relaxed structure of NpPO6, from the Alexandria database.

Values from the calculation:
Total moment: 0.1 μB/f.u.

Lattice parameters (Å, degrees): 11.5343 5.3342 4.7257 85.13 133.13 55.01
Site moments in Bohr magnetons follow the coordinates.
Fractional coordinates of all 8 atoms:
1 P 0.0000 0.0000 0.0000  0.00
2 O 0.6695 0.5787 0.5573  0.01
3 O 0.2343 0.7664 0.6967  0.01
4 O 0.0847 0.1630 0.9596  0.01
5 O 0.7657 0.2336 0.3033  0.01
6 O 0.3305 0.4213 0.4427  0.01
7 O 0.9153 0.8370 0.0404  0.01
8 Np 0.5000 0.5000 0.5000  -0.10

Entry 2
The following is a PBE calculation of a relaxed structure of NpPO6, from the Alexandria database.

Values from the calculation:
Total moment: 0.0 μB/f.u.

Lattice parameters (Å, degrees): 5.1319 5.1318 5.2276 60.61 60.61 60.00
Fractional coordinates of all 8 atoms:
1 O 0.8456 0.7000 0.2280
2 O 0.1544 0.3000 0.7720
3 O 0.7000 0.2264 0.2281
4 O 0.7736 0.1544 0.7720
5 O 0.2264 0.8456 0.2280
6 O 0.3000 0.7736 0.7719
7 Np 0.5000 0.5000 0.5000
8 P 0.0000 0.0000 0.0000

Which one is most stable, and which one is least stable? entry 2 is the most stable of them, while entry 1 is the least stable.

Entry 1
The following is a PBE calculation of a relaxed structure of NpPaO2, from the Alexandria database.

Values from the calculation:
Total moment: 5.9 μB/f.u.

Lattice parameters (Å, degrees): 3.7552 3.7552 6.6624 73.63 73.63 60.00
Site moments in Bohr magnetons follow the coordinates.
Fractional coordinates of all 4 atoms:
1 Pa 0.5000 0.5000 0.5000  0.89
2 O 0.8764 0.8764 0.3707  -0.02
3 O 0.1236 0.1236 0.6293  -0.02
4 Np 0.0000 0.0000 0.0000  4.14

Entry 2
The following is a PBE calculation of a relaxed structure of NpPaO2, from the Alexandria database.

Values from the calculation:
Total moment: 6.8 μB/f.u.

Lattice parameters (Å, degrees): 3.0962 4.3514 4.3514 90.00 90.00 90.00
Site moments in Bohr magnetons follow the coordinates.
Fractional coordinates of all 4 atoms:
1 O 0.0000 0.0000 0.5000  -0.03
2 O 0.0000 0.5000 0.0000  -0.03
3 Pa 0.5000 0.0000 0.0000  1.79
4 Np 0.5000 0.5000 0.5000  4.64

Which one is most stable, and which one is least stable? entry 1 is the most stable of them, while entry 2 is the least stable.

Entry 1
The following is a PBE calculation of a relaxed structure of NpPdO, from the Alexandria database.

Values from the calculation:
Total moment: 3.0 μB/f.u.

Lattice parameters (Å, degrees): 3.9985 3.9985 4.5151 116.28 116.28 90.00
Site moments in Bohr magnetons follow the coordinates.
Fractional coordinates of all 3 atoms:
1 Np 0.5788 0.5788 0.1575  3.11
2 Pd 0.9656 0.9656 0.9311  -0.14
3 O 0.3057 0.3057 0.6114  -0.12

Entry 2
The following is a PBE calculation of a relaxed structure of NpPdO, from the Alexandria database.

Values from the calculation:
Total moment: 3.7 μB/f.u.

Lattice parameters (Å, degrees): 3.1902 3.1902 10.2477 98.95 98.95 90.00
Site moments in Bohr magnetons follow the coordinates.
Fractional coordinates of all 6 atoms:
1 Pd 0.4336 0.4336 0.8673  -0.05
2 Pd 0.5664 0.5664 0.1327  -0.05
3 Np 0.8298 0.8298 0.6597  3.68
4 Np 0.1702 0.1702 0.3403  3.68
5 O 0.7081 0.7081 0.4163  -0.10
6 O 0.2919 0.2919 0.5837  -0.10

Which one is most stable, and which one is least stable? entry 2 is the most stable of them, while entry 1 is the least stable.

Entry 1
The following is a PBE calculation of a relaxed structure of Pm2NpO6, from the Alexandria database.

Values from the calculation:
Total moment: 1.0 μB/f.u.

Lattice parameters (Å, degrees): 5.1965 5.1965 10.6813 90.00 90.00 90.00
Site moments in Bohr magnetons follow the coordinates.
Fractional coordinates of all 18 atoms:
1 O 0.1822 0.8178 0.3495  -0.03
2 O 0.2163 0.7837 0.0000  -0.04
3 O 0.7837 0.2163 0.0000  -0.04
4 O 0.2837 0.2837 0.5000  -0.04
5 O 0.1822 0.8178 0.6505  -0.03
6 O 0.8178 0.1822 0.6505  -0.03
7 O 0.6822 0.6822 0.8495  -0.03
8 O 0.7163 0.7163 0.5000  -0.04
9 O 0.8178 0.1822 0.3495  -0.03
10 O 0.3178 0.3178 0.8495  -0.03
11 O 0.3178 0.3178 0.1505  -0.03
12 O 0.6822 0.6822 0.1505  -0.03
13 Pm 0.5000 0.5000 0.6665  -0.01
14 Pm 0.0000 0.0000 0.1665  -0.01
15 Pm 0.5000 0.5000 0.3335  -0.01
16 Pm 0.0000 0.0000 0.8335  -0.01
17 Np 0.0000 0.0000 0.5000  1.22
18 Np 0.5000 0.5000 0.0000  1.22

Entry 2
The following is a PBE calculation of a relaxed structure of Pm2NpO6, from the Alexandria database.

Values from the calculation:
Total moment: 1.0 μB/f.u.

Lattice parameters (Å, degrees): 5.8742 5.7093 9.4980 90.00 90.02 90.00
Site moments in Bohr magnetons follow the coordinates.
Fractional coordinates of all 18 atoms:
1 O 0.6526 0.2965 0.8397  -0.03
2 O 0.1990 0.3337 0.0002  -0.04
3 O 0.8474 0.7965 0.6603  -0.03
4 O 0.1527 0.2026 0.6606  -0.03
5 O 0.8010 0.6663 0.9998  -0.04
6 O 0.6527 0.2974 0.1606  -0.03
7 O 0.3473 0.7026 0.8394  -0.03
8 O 0.3010 0.8337 0.4998  -0.04
9 O 0.3474 0.7035 0.1603  -0.03
10 O 0.1526 0.2035 0.3397  -0.03
11 O 0.6990 0.1663 0.5002  -0.04
12 O 0.8473 0.7974 0.3394  -0.03
13 Np 0.0000 0.0000 0.5000  1.20
14 Np 0.5000 0.5000 0.0000  1.20
15 Pm 0.9999 0.4996 0.7943  0.00
16 Pm 0.0001 0.5004 0.2057  0.00
17 Pm 0.4999 0.0004 0.2943  0.00
18 Pm 0.5001 0.9996 0.7057  0.00

Which one is most stable, and which one is least stable? entry 2 is the most stable of them, while entry 1 is the least stable.

Entry 1
The following is a PBE calculation of a relaxed structure of Rb2NpO5, from the Alexandria database.

Values from the calculation:
Total moment: 1.0 μB/f.u.

Lattice parameters (Å, degrees): 4.3375 6.4528 6.4528 90.00 90.00 90.00
Site moments in Bohr magnetons follow the coordinates.
Fractional coordinates of all 8 atoms:
1 O 0.5000 0.0000 0.0000  0.21
2 O 0.0000 0.2094 0.2094  0.12
3 O 0.0000 0.7906 0.7906  0.12
4 O 0.0000 0.7906 0.2094  0.12
5 O 0.0000 0.2094 0.7906  0.12
6 Np 0.0000 0.0000 0.0000  0.14
7 Rb 0.5000 0.0000 0.5000  0.00
8 Rb 0.5000 0.5000 0.0000  0.00

Entry 2
The following is a PBE calculation of a relaxed structure of Rb2NpO5, from the Alexandria database.

Values from the calculation:
Total moment: 1.1 μB/f.u.

Lattice parameters (Å, degrees): 6.2029 7.9940 12.4201 90.00 90.00 90.00
Site moments in Bohr magnetons follow the coordinates.
Fractional coordinates of all 32 atoms:
1 O 0.2500 0.0321 0.1888  0.14
2 O 0.9781 0.6905 0.8842  0.26
3 O 0.5000 0.0000 0.0000  0.08
4 O 0.0219 0.3095 0.1158  0.26
5 O 0.7500 0.2260 0.4248  0.12
6 O 0.7500 0.9679 0.8112  0.14
7 O 0.5219 0.1905 0.6158  0.26
8 O 0.0000 0.0000 0.0000  0.08
9 O 0.2500 0.5321 0.3112  0.14
10 O 0.4781 0.3095 0.1158  0.26
11 O 0.2500 0.7740 0.5752  0.12
12 O 0.7500 0.4679 0.6888  0.14
13 O 0.4781 0.8095 0.3842  0.26
14 O 0.5000 0.5000 0.5000  0.08
15 O 0.2500 0.2740 0.9248  0.12
16 O 0.0219 0.8095 0.3842  0.26
17 O 0.9781 0.1905 0.6158  0.26
18 O 0.7500 0.7260 0.0752  0.12
19 O 0.5219 0.6905 0.8842  0.26
20 O 0.0000 0.5000 0.5000  0.08
21 Rb 0.2500 0.9911 0.7681  0.00
22 Rb 0.7500 0.0089 0.2319  0.00
23 Rb 0.2500 0.4911 0.7319  0.00
24 Rb 0.2500 0.1538 0.4178  0.00
25 Rb 0.7500 0.5089 0.2681  0.00
26 Rb 0.7500 0.3462 0.9178  0.00
27 Rb 0.2500 0.6538 0.0822  0.00
28 Rb 0.7500 0.8462 0.5822  0.00
29 Np 0.7500 0.3396 0.5606  0.02
30 Np 0.2500 0.6604 0.4394  0.02
31 Np 0.7500 0.8396 0.9394  0.02
32 Np 0.2500 0.1604 0.0606  0.02

Which one is most stable, and which one is least stable? entry 1 is the most stable of them, while entry 2 is the least stable.